Record 1
{"formula": "NdTmZn", "functional": "GGA-PBE", "state": "optimized geometry", "de_polymorph_kj_per_mol_atoms": 0.00, "sg": "No. 216", "lattice": [[0.0000, 3.5310, 3.5310], [3.5310, 0.0000, 3.5310], [3.5310, 3.5310, 0.0000]], "species": ["Nd", "Tm", "Zn"], "frac_coords": [[0.2500, 0.2500, 0.2500], [0.7500, 0.7500, 0.7500], [0.0000, 0.0000, 0.0000]]}

***

Record 2
{"formula": "RbRe", "functional": "GGA-PBE", "state": "optimized geometry", "de_polymorph_kj_per_mol_atoms": 156.19, "sg": "No. 216", "lattice": [[0.0000, 4.0271, 4.0271], [4.0271, 0.0000, 4.0271], [4.0271, 4.0271, 0.0000]], "species": ["Re", "Rb"], "frac_coords": [[0.2500, 0.2500, 0.2500], [0.0000, 0.0000, 0.0000]]}

***

Record 3
{"formula": "LaGdAl2", "functional": "GGA-PBE", "state": "optimized geometry", "de_polymorph_kj_per_mol_atoms": 1.17, "sg": "No. 38", "lattice": [[-4.0451, 2.6962, -3.0191], [-3.1635, -5.0902, -0.3072], [-2.1845, 2.3836, 5.0556]], "species": ["Gd", "Gd", "La", "La", "Al", "Al", "Al", "Al"], "frac_coords": [[0.0000, 0.0216, 0.6599], [0.0000, 0.6599, 0.0216], [0.5000, 0.3366, 0.9812], [0.5000, 0.9812, 0.3366], [0.7523, 0.5024, 0.5024], [0.0000, 0.1929, 0.1929], [0.5000, 0.8029, 0.8029], [0.2477, 0.5024, 0.5024]]}

***

| no. | VASP energy (hartree per atom) | total moment (μB per cell) |
| --- | --- | --- |
| 1 | -0.128 | 0.03 |
| 2 | -0.119 | 4.01 |
| 3 | -0.171 | 0.00 |